No. 1
The following is a DFT calculation (PBE) of crystalline ReTcW at its relaxed geometry.

Computed properties:
Space group = Fmm2
D(E_F) = 1.221 states/eV per atom
DFT formation energy = 185.4 meV/atom
Mass density = 16.878 g cm⁻³
Size of the total moment = 0.00 μB/cell

Cell: 6.937 6.754 2.728 Å, 82.30 74.76 22.94°
Fractional positions:
Re 0.000 0.000 0.000
Tc 0.333 0.333 0.667
W 0.667 0.667 0.333



No. 2
The following is a DFT calculation (PBE) of crystalline Re2TcW at its relaxed geometry.

Computed properties:
Space group = Cm
D(E_F) = 0.835 states/eV per atom
DFT formation energy = 121.7 meV/atom
Mass density = 17.807 g cm⁻³
Size of the total moment = 0.00 μB/cell

Cell: 4.820 4.820 4.818 Å, 99.46 99.46 33.59°
Fractional positions:
Re 0.000 0.000 0.000
Re 0.745 0.745 0.243
Tc 0.255 0.255 0.755
W 0.500 0.500 0.502



No. 3
The following is a DFT calculation (PBE) of crystalline Re7Tc2W2 at its relaxed geometry.

Computed properties:
Space group = C2/m
D(E_F) = 0.838 states/eV per atom
DFT formation energy = 820.6 meV/atom
Mass density = 16.105 g cm⁻³
Size of the total moment = 0.00 μB/cell

Cell: 5.137 5.137 8.360 Å, 102.88 102.88 64.79°
Fractional positions:
Re 0.000 0.000 0.000
Re 0.100 0.575 0.776
Re 0.229 0.229 0.496
Re 0.425 0.900 0.224
Re 0.575 0.100 0.776
Re 0.771 0.771 0.504
Re 0.900 0.425 0.224
Tc 0.280 0.720 0.500
Tc 0.720 0.280 0.500
W 0.349 0.349 0.063
W 0.651 0.651 0.937



No. 4
The following is a DFT calculation (PBE) of crystalline Re4TcW at its relaxed geometry.

Computed properties:
Space group = F-43m
D(E_F) = 0.527 states/eV per atom
DFT formation energy = 245.4 meV/atom
Mass density = 17.976 g cm⁻³
Size of the total moment = 0.00 μB/cell

Cell: 5.119 5.119 5.119 Å, 60.00 60.00 60.00°
Fractional positions:
Re 0.125 0.125 0.125
Re 0.125 0.125 0.625
Re 0.125 0.625 0.125
Re 0.625 0.125 0.125
Tc 0.500 0.500 0.500
W 0.750 0.750 0.750



No. 5
The following is a DFT calculation (PBE) of crystalline Re8Tc4W at its relaxed geometry.

Computed properties:
Space group = P2/m
D(E_F) = 1.157 states/eV per atom
DFT formation energy = 538.5 meV/atom
Mass density = 15.883 g cm⁻³
Size of the total moment = 1.05 μB/cell

Cell: 5.247 8.380 5.258 Å, 90.00 110.93 90.00°
Fractional positions:
Re 0.240 0.246 0.238
Re 0.240 0.754 0.238
Re 0.252 0.274 0.746
Re 0.252 0.726 0.746
Re 0.748 0.274 0.254
Re 0.748 0.726 0.254
Re 0.760 0.246 0.762
Re 0.760 0.754 0.762
Tc 0.000 0.000 0.500
Tc 0.000 0.500 0.000
Tc 0.500 0.000 0.000
Tc 0.500 0.500 0.500
W 0.500 0.000 0.500



No. 6
The following is a DFT calculation (PBE) of crystalline Re2TcW at its relaxed geometry.

Computed properties:
Space group = Cmmm
D(E_F) = 1.157 states/eV per atom
DFT formation energy = 138.1 meV/atom
Mass density = 17.814 g cm⁻³
Size of the total moment = 0.00 μB/cell

Cell: 4.819 4.819 2.783 Å, 90.00 90.00 109.32°
Fractional positions:
Re 0.000 0.500 0.000
Re 0.500 0.000 0.000
Tc 0.000 0.000 0.500
W 0.500 0.500 0.500



No. 7
The following is a DFT calculation (PBE) of crystalline Re2TcW at its relaxed geometry.

Computed properties:
Space group = Cmm2
D(E_F) = 1.048 states/eV per atom
DFT formation energy = 207.5 meV/atom
Mass density = 17.786 g cm⁻³
Size of the total moment = 0.00 μB/cell

Cell: 2.713 2.713 8.828 Å, 90.00 90.00 109.89°
Fractional positions:
Re 0.000 0.000 0.000
Re 0.500 0.500 0.250
Tc 0.500 0.500 0.752
W 0.000 0.000 0.502



No. 8
The following is a DFT calculation (PBE) of crystalline ReTcW at its relaxed geometry.

Computed properties:
Space group = P3m1
D(E_F) = 1.000 states/eV per atom
DFT formation energy = 139.5 meV/atom
Mass density = 16.869 g cm⁻³
Size of the total moment = 0.00 μB/cell

Cell: 4.416 4.416 2.728 Å, 90.00 90.00 120.00°
Fractional positions:
Re 0.000 0.000 0.000
Tc 0.667 0.333 0.403
W 0.333 0.667 0.720



No. 9
The following is a DFT calculation (PBE) of crystalline Re2TcW at its relaxed geometry.

Computed properties:
Space group = R-3m
D(E_F) = 1.052 states/eV per atom
DFT formation energy = 157.4 meV/atom
Mass density = 17.780 g cm⁻³
Size of the total moment = 0.00 μB/cell

Cell: 9.363 9.363 9.363 Å, 16.98 16.98 16.98°
Fractional positions:
Re 0.248 0.248 0.248
Re 0.752 0.752 0.752
Tc 0.500 0.500 0.500
W 0.000 0.000 0.000



No. 10
The following is a DFT calculation (PBE) of crystalline ReTcW6 at its relaxed geometry.

Computed properties:
Space group = Cmmm
D(E_F) = 0.597 states/eV per atom
DFT formation energy = 43.4 meV/atom
Mass density = 18.192 g cm⁻³
Size of the total moment = 0.00 μB/cell

Cell: 5.475 5.475 4.485 Å, 90.00 90.00 109.64°
Fractional positions:
Re 0.000 0.000 0.000
Tc 0.500 0.500 0.000
W 0.000 0.500 0.000
W 0.249 0.249 0.500
W 0.251 0.749 0.500
W 0.500 0.000 0.000
W 0.749 0.251 0.500
W 0.751 0.751 0.500



No. 11
The following is a DFT calculation (PBE) of crystalline ZnReTcW at its relaxed geometry.

Computed properties:
Space group = F-43m
D(E_F) = 0.938 states/eV per atom
DFT formation energy = 137.4 meV/atom
Mass density = 14.821 g cm⁻³
Size of the total moment = 0.00 μB/cell

Cell: 4.389 4.389 4.389 Å, 60.00 60.00 60.00°
Fractional positions:
Zn 0.000 0.000 0.000
Re 0.750 0.750 0.750
Tc 0.250 0.250 0.250
W 0.500 0.500 0.500



No. 12
The following is a DFT calculation (PBE) of crystalline ZrReTcW at its relaxed geometry.

Computed properties:
Space group = F-43m
D(E_F) = 0.421 states/eV per atom
DFT formation energy = -207.0 meV/atom
Mass density = 14.046 g cm⁻³
Size of the total moment = 0.00 μB/cell

Cell: 4.539 4.539 4.539 Å, 60.00 60.00 60.00°
Fractional positions:
Zr 0.000 0.000 0.000
Re 0.750 0.750 0.750
Tc 0.250 0.250 0.250
W 0.500 0.500 0.500



No. 13
The following is a DFT calculation (PBE) of crystalline YReTc2 at its relaxed geometry.

Computed properties:
Space group = Pm
D(E_F) = 0.972 states/eV per atom
DFT formation energy = 328.3 meV/atom
Mass density = 11.341 g cm⁻³
Size of the total moment = 0.00 μB/cell

Cell: 2.905 4.426 5.460 Å, 90.00 100.67 90.00°
Fractional positions:
Y 0.000 0.000 0.000
Re 0.726 0.500 0.289
Tc 0.255 0.500 0.730
Tc 0.506 0.000 0.499



No. 14
The following is a DFT calculation (PBE) of crystalline Y2ReTc at its relaxed geometry.

Computed properties:
Space group = Fm-3m
D(E_F) = 1.745 states/eV per atom
DFT formation energy = 398.4 meV/atom
Mass density = 9.380 g cm⁻³
Size of the total moment = 0.00 μB/cell

Cell: 4.872 4.872 4.872 Å, 60.00 60.00 60.00°
Fractional positions:
Y 0.250 0.250 0.250
Y 0.750 0.750 0.750
Re 0.000 0.000 0.000
Tc 0.500 0.500 0.500